Below is a relaxed Cu17Pb crystal, with properties calculated at the GGA-PBE level.

Unit cell a=5.094 b=5.094 c=31.515 alpha=90.00 beta=90.00 gamma=120.00
Sites, in units of the cell vectors:
Cu (0.500, 0.000, 0.500)
Cu (0.333, 0.167, 0.566)
Cu (0.000, 0.000, 0.303)
Cu (0.004, 0.502, 0.698)
Cu (0.167, 0.334, 0.632)
Cu (0.833, 0.167, 0.763)
Cu (0.167, 0.333, 0.434)
Cu (0.334, 0.167, 0.368)
Cu (0.502, 0.498, 0.302)
Cu (0.167, 0.833, 0.237)
Cu (0.167, 0.833, 0.434)
Cu (0.000, 0.000, 0.697)
Cu (0.333, 0.667, 0.566)
Cu (0.667, 0.833, 0.237)
Cu (0.833, 0.666, 0.368)
Cu (0.167, 0.333, 0.237)
Cu (0.666, 0.833, 0.632)
Cu (0.000, 0.000, 0.500)
Cu (0.498, 0.996, 0.698)
Cu (0.996, 0.498, 0.302)
Cu (0.667, 0.833, 0.434)
Cu (0.833, 0.667, 0.566)
Cu (0.000, 0.500, 0.500)
Cu (0.333, 0.167, 0.763)
Cu (0.167, 0.833, 0.632)
Cu (0.502, 0.004, 0.302)
Cu (0.833, 0.167, 0.566)
Cu (0.498, 0.502, 0.698)
Cu (0.833, 0.667, 0.763)
Cu (0.833, 0.167, 0.368)
Cu (0.667, 0.333, 0.434)
Cu (0.667, 0.333, 0.632)
Cu (0.500, 0.500, 0.500)
Cu (0.333, 0.667, 0.368)
Pb (0.667, 0.333, 0.203)
Pb (0.333, 0.667, 0.797)


Below is a relaxed CuPb crystal, with properties calculated at the GGA-PBE level.

Unit cell a=3.363 b=3.363 c=4.267 alpha=90.00 beta=90.00 gamma=120.00
Sites, in units of the cell vectors:
Pb (0.333, 0.667, 0.250)
Cu (0.667, 0.333, 0.750)


Below is a relaxed Cu9Pb2 crystal, with properties calculated at the GGA-PBE level.

Unit cell a=2.935 b=2.935 c=31.436 alpha=90.00 beta=90.00 gamma=120.00
Sites, in units of the cell vectors:
Cu (0.333, 0.667, 0.116)
Cu (0.333, 0.667, 0.942)
Cu (0.667, 0.333, 0.058)
Cu (0.000, 0.000, 0.825)
Cu (0.333, 0.667, 0.767)
Cu (0.000, 0.000, 0.000)
Cu (0.667, 0.333, 0.884)
Cu (0.667, 0.333, 0.233)
Cu (0.000, 0.000, 0.175)
Pb (0.667, 0.333, 0.690)
Pb (0.333, 0.667, 0.310)


Below is a relaxed Cu7Pb2 crystal, with properties calculated at the GGA-PBE level.

Unit cell a=2.979 b=2.979 c=28.139 alpha=90.00 beta=90.00 gamma=60.00
Sites, in units of the cell vectors:
Cu (0.000, 0.000, 0.308)
Cu (0.000, 0.000, 0.692)
Cu (0.000, 0.000, 0.500)
Cu (0.667, 0.667, 0.437)
Cu (0.333, 0.333, 0.563)
Cu (0.333, 0.333, 0.373)
Cu (0.667, 0.667, 0.627)
Pb (0.333, 0.333, 0.777)
Pb (0.667, 0.667, 0.223)


| no. | final energy (eV/atom) |
| --- | --- |
| 1 | -3.643 |
| 2 | -3.357 |
| 3 | -3.351 |
| 4 | -3.332 |